This record from the Alexandria database describes a relaxed structure of KZrP2. The functional is GGA-PBE.

formation energy = -551 meV/atom
V = 97.54 Å³/cell
SG = Cm
raw total energy = -22.67 eV per cell
E above lowest polymorph = 0.44 eV/f.u.

a = 8.4120 Å, b = 8.4120 Å, c = 3.5460 Å
α = 102.04°, β = 102.04°, γ = 23.44°
Closest atoms and distances in Å follow each position.
Sites, in units of the cell vectors:
K  0.0000  0.0000  0.0000  6 P 3.25-3.34, 4 K 3.42-3.55
Zr  0.2592  0.2592  0.7611  6 P 2.66-2.68
P  0.6322  0.6322  0.6298  2 Zr 2.66
P  0.8245  0.8245  0.3254  4 Zr 2.68